1.
The following is a PBE calculation of a relaxed structure of Rb3I6F, from Alexandria.

## Properties
DOS at the Fermi energy in states/eV/f.u.: 12.1
Space group: I4/mmm, No. 139
Formation energy (no corrections) in meV/atom: -680

Geometry as POSCAR:
```
Rb3I6F
1.0
9.5113 0.0000 0.0000
0.0000 9.5113 0.0000
4.7556 4.7556 5.6611
I Rb F
6 3 1
direct
0.3026 0.3026 0.3947
0.6974 0.6974 0.6053
0.2537 0.2537 0.0000
0.7463 0.7463 0.0000
0.7463 0.2537 0.0000
0.2537 0.7463 0.0000
0.7500 0.2500 0.5000
0.2500 0.7500 0.5000
0.0000 0.0000 0.0000
0.5000 0.5000 0.0000
```

***

2.
The following is a PBE calculation of a relaxed structure of Rb2IF4, from Alexandria.

## Properties
Space group: Fmmm, No. 69
Formation energy (no corrections) in meV/atom: -1986

Geometry as POSCAR:
```
Rb2IF4
1.0
-6.4865 -1.5531 -0.4416
-0.7912 -5.7805 -3.2622
3.8954 1.5429 5.5531
Rb I F
2 1 4
direct
0.2500 0.7500 0.5000
0.7500 0.2500 0.5000
0.0000 0.0000 0.0000
0.7657 0.7658 0.0000
0.2342 0.2343 0.0000
0.2422 0.2422 0.4845
0.7578 0.7578 0.5155
```

***

3.
The following is a PBE calculation of a relaxed structure of Rb4I3F, from Alexandria.

## Properties
DOS at the Fermi energy in states/eV/f.u.: 0.0
Polymorph energy (0 for the lowest one) in eV per atom: 0.033
Space group: Pmn2_1, No. 31
Formation energy (no corrections) in meV/atom: -1718

Geometry as POSCAR:
```
Rb4I3F
1.0
-4.4156 3.4557 -4.8016
-7.8684 -1.6894 6.0199
2.0173 10.2305 5.5078
Rb I F
8 6 2
direct
0.0629 0.9088 0.0000
0.6408 0.1981 0.0000
0.0656 0.3078 0.2122
0.5656 0.6922 0.2878
0.1408 0.8019 0.5000
0.5629 0.0912 0.5000
0.5656 0.6922 0.7122
0.0656 0.3078 0.7878
0.5581 0.8525 0.0000
0.0584 0.6701 0.2304
0.5584 0.3299 0.2696
0.0580 0.1475 0.5000
0.5584 0.3299 0.7304
0.0584 0.6701 0.7696
0.0055 0.1839 0.0000
0.5055 0.8161 0.5000
```

***

4.
The following is a PBE calculation of a relaxed structure of Rb2I7F, from Alexandria.

## Properties
DOS at the Fermi energy in states/eV/f.u.: 0.0
Space group: I4/mmm, No. 139
Formation energy (no corrections) in meV/atom: -638

Geometry as POSCAR:
```
Rb2I7F
1.0
-0.8155 7.8349 2.5969
-4.5138 1.7615 -6.7319
-7.5940 3.3180 0.8504
I Rb F
7 2 1
direct
0.0000 0.0000 0.0000
0.2530 0.2530 0.4940
0.7470 0.7470 0.5060
0.2557 0.2557 0.0000
0.7443 0.7443 0.0000
0.7443 0.2557 0.0000
0.2557 0.7443 0.0000
0.7500 0.2500 0.5000
0.2500 0.7500 0.5000
0.5000 0.5000 0.0000
```

***

5.
The following is a PBE calculation of a relaxed structure of Rb2IF6, from Alexandria.

## Properties
DOS at the Fermi energy in states/eV/f.u.: 0.1
Space group: P-3m1, No. 164
Formation energy (no corrections) in meV/atom: -2049

Geometry as POSCAR:
```
Rb2IF6
1.0
-0.7199 -4.4241 -0.2513
6.5422 -1.0463 -0.3745
3.5427 -0.8941 5.5394
Rb I F
2 1 6
direct
0.7007 0.6667 0.6667
0.2993 0.3333 0.3333
0.0000 0.0000 0.0000
0.1974 0.3372 0.8312
0.1969 0.8313 0.8313
0.1974 0.8312 0.3372
0.8026 0.6628 0.1688
0.8031 0.1687 0.1687
0.8026 0.1688 0.6628
```

***

6.
The following is a PBE calculation of a relaxed structure of Rb2ReI6F, from Alexandria.

## Properties
DOS at the Fermi energy in states/eV/f.u.: 6.6
Space group: I4/mmm, No. 139
Formation energy (no corrections) in meV/atom: -655

Geometry as POSCAR:
```
Rb2ReI6F
1.0
-0.6015 7.7746 -0.9475
0.6461 -0.8977 -7.7769
-5.9783 2.9207 -4.8010
I Re Rb F
6 1 2 1
direct
0.2279 0.2279 0.5441
0.7721 0.7721 0.4559
0.2472 0.2472 0.0000
0.7528 0.7528 0.0000
0.7528 0.2472 0.0000
0.2472 0.7528 0.0000
0.0000 0.0000 0.0000
0.7500 0.2500 0.5000
0.2500 0.7500 0.5000
0.5000 0.5000 0.0000
```

***

7.
The following is a PBE calculation of a relaxed structure of Rb3ReI2F6, from Alexandria.

## Properties
DOS at the Fermi energy in states/eV/f.u.: 14.1
Space group: C2/m, No. 12
Formation energy (no corrections) in meV/atom: -2047

Geometry as POSCAR:
```
Rb3ReI2F6
1.0
5.7326 0.0000 0.3116
0.0000 8.1161 0.0000
-0.4291 -4.0581 8.5502
Rb Re I F
3 1 2 6
direct
0.0000 0.5000 0.0000
0.5000 0.5000 0.5000
0.5000 0.0000 0.5000
0.5000 0.0000 0.0000
0.0008 0.7027 0.4054
0.9992 0.2973 0.5946
0.7308 0.1703 0.9988
0.2692 0.8297 0.0012
0.4983 0.8860 0.7719
0.5017 0.1140 0.2281
0.2692 0.1715 0.0012
0.7308 0.8285 0.9988
```

***

8.
The following is a PBE calculation of a relaxed structure of RbReI2F6, from Alexandria.

## Properties
DOS at the Fermi energy in states/eV/f.u.: 10.9
Space group: Pmmn, No. 59
Formation energy (no corrections) in meV/atom: -1851

Geometry as POSCAR:
```
RbReI2F6
1.0
-0.3610 4.4686 -3.5986
-2.5843 -4.5386 -5.3766
-11.7840 2.1488 3.8503
Rb Re I F
2 2 4 12
direct
0.0000 0.6344 0.5000
0.5000 0.3656 0.0000
0.5000 0.1207 0.5000
0.0000 0.8793 0.0000
0.5000 0.5557 0.2577
0.0000 0.4443 0.7577
0.5000 0.5557 0.7423
0.0000 0.4443 0.2423
0.5000 0.1171 0.3499
0.5000 0.1171 0.6501
0.0000 0.8829 0.1501
0.0000 0.8829 0.8499
0.2686 0.9350 0.5000
0.7314 0.9350 0.5000
0.2690 0.3059 0.5000
0.7310 0.3059 0.5000
0.7690 0.6941 0.0000
0.2310 0.6941 0.0000
0.2314 0.0650 0.0000
0.7686 0.0650 0.0000
```

***

9.
The following is a PBE calculation of a relaxed structure of Rb2RhIF6, from Alexandria.

## Properties
DOS at the Fermi energy in states/eV/f.u.: 5.7
Space group: I4/mmm, No. 139
Formation energy (no corrections) in meV/atom: -1826

Geometry as POSCAR:
```
Rb2RhIF6
1.0
7.1514 0.0000 0.0000
0.0000 7.1514 0.0000
3.5757 3.5757 4.2573
I Rh Rb F
1 1 2 6
direct
0.0000 0.0000 0.0000
0.5000 0.5000 0.0000
0.7500 0.2500 0.5000
0.2500 0.7500 0.5000
0.2568 0.2568 0.4863
0.7432 0.7432 0.5137
0.3039 0.3039 0.0000
0.6961 0.6961 0.0000
0.6961 0.3039 0.0000
0.3039 0.6961 0.0000
```

***

10.
The following is a PBE calculation of a relaxed structure of RbRuIF2, from Alexandria.

## Properties
DOS at the Fermi energy in states/eV/f.u.: 3.9
Space group: P4/mmm, No. 123
Formation energy (no corrections) in meV/atom: -431

Geometry as POSCAR:
```
RbRuIF2
1.0
-1.9483 3.8097 3.0342
-3.4532 0.8797 -3.3220
-3.1457 -3.4792 2.3486
I Ru Rb F
1 1 1 2
direct
0.0000 0.0000 0.0000
0.0000 0.5000 0.0000
0.5000 0.5000 0.5000
0.0000 0.0000 0.5000
0.5000 0.0000 0.0000
```

***

11.
The following is a PBE calculation of a relaxed structure of RbRu2IF, from Alexandria.

## Properties
DOS at the Fermi energy in states/eV/f.u.: 5.2
Space group: P4/mmm, No. 123
Formation energy (no corrections) in meV/atom: 653

Geometry as POSCAR:
```
RbRu2IF
1.0
4.8813 0.0000 0.0000
0.0000 8.5355 0.0000
0.0000 0.0000 4.8813
I Ru Rb F
1 2 1 1
direct
0.0000 0.0000 0.0000
0.0000 0.0000 0.5000
0.5000 0.0000 0.0000
0.0000 0.5000 0.0000
0.5000 0.5000 0.5000
```

***

12.
The following is a PBE calculation of a relaxed structure of Rb2RuI6F, from Alexandria.

## Properties
DOS at the Fermi energy in states/eV/f.u.: 8.8
Space group: I4/mmm, No. 139
Formation energy (no corrections) in meV/atom: -695

Geometry as POSCAR:
```
Rb2RuI6F
1.0
8.4357 0.0000 0.0000
0.0000 8.4357 0.0000
4.2178 4.2178 5.2266
I Ru Rb F
6 1 2 1
direct
0.2661 0.2661 0.4679
0.7339 0.7339 0.5321
0.2267 0.2267 0.0000
0.7733 0.7733 0.0000
0.7733 0.2267 0.0000
0.2267 0.7733 0.0000
0.0000 0.0000 0.0000
0.7500 0.2500 0.5000
0.2500 0.7500 0.5000
0.5000 0.5000 0.0000
```

***

13.
The following is a PBE calculation of a relaxed structure of Rb2SIF6, from Alexandria.

## Properties
DOS at the Fermi energy in states/eV/f.u.: 7.2
Space group: I4/mmm, No. 139
Formation energy (no corrections) in meV/atom: -1749

Geometry as POSCAR:
```
Rb2SIF6
1.0
-5.6938 1.1787 -3.7206
3.7143 -0.3840 -5.8059
-1.8263 -4.3434 -4.9849
I S Rb F
1 1 2 6
direct
0.0000 0.0000 0.0000
0.5000 0.5000 0.0000
0.7500 0.2500 0.5000
0.2500 0.7500 0.5000
0.3114 0.3114 0.3771
0.6886 0.6886 0.6229
0.3140 0.3140 0.0000
0.6860 0.6860 0.0000
0.6860 0.3140 0.0000
0.3140 0.6860 0.0000
```

***

14.
The following is a PBE calculation of a relaxed structure of Rb2SbIF6, from Alexandria.

## Properties
DOS at the Fermi energy in states/eV/f.u.: 0.0
Space group: Fm-3m, No. 225
Formation energy (no corrections) in meV/atom: -2236

Geometry as POSCAR:
```
Rb2SbIF6
1.0
-2.3077 5.6880 3.8798
-3.2068 -4.5090 4.7030
1.5509 0.4348 7.0807
I Sb Rb F
1 1 2 6
direct
0.0000 0.0000 0.0000
0.5000 0.5000 0.0000
0.7500 0.2500 0.5000
0.2500 0.7500 0.5000
0.3111 0.3111 0.3778
0.6889 0.6889 0.6222
0.3111 0.3111 0.0000
0.6889 0.6889 0.0000
0.6889 0.3111 0.0000
0.3111 0.6889 0.0000
```

***

15.
The following is a PBE calculation of a relaxed structure of Rb2SbI6F, from Alexandria.

## Properties
DOS at the Fermi energy in states/eV/f.u.: 0.1
Space group: I4/mmm, No. 139
Formation energy (no corrections) in meV/atom: -827

Geometry as POSCAR:
```
Rb2SbI6F
1.0
8.0160 0.0000 0.0000
0.0000 8.0160 0.0000
4.0080 4.0080 6.2263
I Sb Rb F
6 1 2 1
direct
0.2369 0.2369 0.5263
0.7631 0.7631 0.4737
0.2550 0.2550 0.0000
0.7450 0.7450 0.0000
0.7450 0.2550 0.0000
0.2550 0.7450 0.0000
0.0000 0.0000 0.0000
0.7500 0.2500 0.5000
0.2500 0.7500 0.5000
0.5000 0.5000 0.0000
```

***

16.
The following is a PBE calculation of a relaxed structure of RbSbI2F, from Alexandria.

## Properties
DOS at the Fermi energy in states/eV/f.u.: 2.5
Polymorph energy (0 for the lowest one) in eV per atom: 0.000
Space group: P4/mmm, No. 123
Formation energy (no corrections) in meV/atom: -1151

Geometry as POSCAR:
```
RbSbI2F
1.0
6.4277 0.0000 0.0000
0.0000 6.4277 0.0000
0.0000 0.0000 4.4985
I Sb Rb F
2 1 1 1
direct
0.0000 0.5000 0.0000
0.5000 0.0000 0.0000
0.0000 0.0000 0.0000
0.5000 0.5000 0.5000
0.0000 0.0000 0.5000
```

***

17.
The following is a PBE calculation of a relaxed structure of RbSb2IF, from Alexandria.

## Properties
DOS at the Fermi energy in states/eV/f.u.: 3.6
Space group: P4/mmm, No. 123
Formation energy (no corrections) in meV/atom: -527

Geometry as POSCAR:
```
RbSb2IF
1.0
-1.8974 -0.2041 -4.4508
-3.2860 -3.2029 1.5477
-4.4984 5.4217 1.6690
I Sb Rb F
1 2 1 1
direct
0.0000 0.0000 0.5000
0.0000 0.5000 0.0000
0.5000 0.0000 0.0000
0.5000 0.5000 0.5000
0.0000 0.0000 0.0000
```

***

18.
The following is a PBE calculation of a relaxed structure of RbSbI2F, from Alexandria.

## Properties
DOS at the Fermi energy in states/eV/f.u.: 1.2
Polymorph energy (0 for the lowest one) in eV per atom: 0.265
Space group: P4/mmm, No. 123
Formation energy (no corrections) in meV/atom: -886

Geometry as POSCAR:
```
RbSbI2F
1.0
-0.7855 -5.8947 -2.3109
1.6983 -2.4394 5.6453
-4.0901 0.0536 1.2536
I Sb Rb F
2 1 1 1
direct
0.0000 0.5000 0.0000
0.5000 0.0000 0.0000
0.0000 0.0000 0.5000
0.5000 0.5000 0.5000
0.0000 0.0000 0.0000
```

***

19.
The following is a PBE calculation of a relaxed structure of Rb2ScIF6, from Alexandria.

## Properties
DOS at the Fermi energy in states/eV/f.u.: 0.0
Space group: I4/mmm, No. 139
Formation energy (no corrections) in meV/atom: -2781

Geometry as POSCAR:
```
Rb2ScIF6
1.0
7.3385 0.0000 0.0000
0.0000 7.3385 0.0000
3.6693 3.6693 4.2297
I Sc Rb F
1 1 2 6
direct
0.0000 0.0000 0.0000
0.5000 0.5000 0.0000
0.7500 0.2500 0.5000
0.2500 0.7500 0.5000
0.2509 0.2509 0.4982
0.7491 0.7491 0.5018
0.3078 0.3078 0.0000
0.6922 0.6922 0.0000
0.6922 0.3078 0.0000
0.3078 0.6922 0.0000
```

***

20.
The following is a PBE calculation of a relaxed structure of RbScI2F, from Alexandria.

## Properties
DOS at the Fermi energy in states/eV/f.u.: 1.2
Space group: P4/mmm, No. 123
Formation energy (no corrections) in meV/atom: -1840

Geometry as POSCAR:
```
RbScI2F
1.0
6.1775 0.0000 0.0000
0.0000 6.1775 0.0000
0.0000 0.0000 4.2142
I Sc Rb F
2 1 1 1
direct
0.0000 0.5000 0.0000
0.5000 0.0000 0.0000
0.0000 0.0000 0.0000
0.5000 0.5000 0.5000
0.0000 0.0000 0.5000
```